! Y2BeHg (GGA-PBE, optimized geometry); values from VASP
&SYSTEM
  ibrav = 0, nat = 4, ntyp = 3
/
ATOMIC_SPECIES
Y 88.91 Y.upf
Be 9.01 Be.upf
Hg 200.59 Hg.upf
ATOMIC_POSITIONS crystal
Y 0.000 0.000 0.000
Y 0.500 0.500 0.500
Be 0.000 0.000 0.500
Hg 0.500 0.500 0.000
CELL_PARAMETERS angstrom
4.806 0.000 0.000
0.000 3.745 0.000
-1.926 0.000 5.778
! E above lowest polymorph: 1.16 eV/f.u.
! Volume: 104.02 Å³ per cell
! Raw total energy: -16.66 eV/f.u.